DFT (GGA-PBE) results for HoAs12Os4 after structural relaxation.

Values from the calculation:
Symmetry ... No. 204
E_tot ... -110.33 eV/cell
ΔE_f ... -296.3 meV/atom

Cell: 7.4622 7.4622 7.4622 Å, 109.47 109.47 109.47°
Positions (direct):
As 0.8517 0.3461 0.1978
As 0.3461 0.1978 0.8517
As 0.5056 0.8517 0.6539
As 0.1483 0.3461 0.4944
As 0.6539 0.5056 0.8517
As 0.3461 0.4944 0.1483
As 0.8517 0.6539 0.5056
As 0.6539 0.8022 0.1483
As 0.1978 0.8517 0.3461
As 0.4944 0.1483 0.3461
As 0.1483 0.6539 0.8022
As 0.8022 0.1483 0.6539
Os 0.0000 0.5000 0.0000
Os 0.0000 0.0000 0.5000
Os 0.5000 0.0000 0.0000
Os 0.5000 0.5000 0.5000
Ho 0.0000 0.0000 0.0000


DFT (GGA-PBE) results for AgSn6PdAu2 after structural relaxation.

Values from the calculation:
Symmetry ... No. 14
E_tot ... -80.09 eV/cell
ΔE_f ... -142.7 meV/atom

Cell: 7.1588 6.7095 9.8601 Å, 90.00 91.97 90.00°
Positions (direct):
Sn 0.3510 0.6162 0.0959
Sn 0.8409 0.4083 0.2395
Sn 0.8505 0.8618 0.9183
Sn 0.1490 0.1162 0.4041
Sn 0.1591 0.5917 0.7605
Sn 0.3505 0.6382 0.4183
Sn 0.6495 0.3618 0.5817
Sn 0.6591 0.9083 0.2605
Sn 0.8510 0.8838 0.5959
Sn 0.6490 0.3838 0.9041
Sn 0.1495 0.1382 0.0817
Sn 0.3409 0.0917 0.7395
Ag 0.5000 0.0000 0.0000
Ag 0.0000 0.5000 0.5000
Au 0.0275 0.7868 0.2373
Au 0.4725 0.2868 0.2627
Au 0.5275 0.7132 0.7373
Au 0.9725 0.2132 0.7627
Pd 0.5000 0.0000 0.5000
Pd 0.0000 0.5000 0.0000


DFT (GGA-PBE) results for Dy6AgPd2 after structural relaxation.

Values from the calculation:
Symmetry ... No. 71
E_tot ... -90.19 eV/cell
ΔE_f ... -472.0 meV/atom

Cell: 8.4899 8.4899 8.4899 Å, 105.65 110.77 112.06°
Positions (direct):
Dy 0.8972 0.7176 0.1796
Dy 0.4621 0.2824 0.1796
Dy 0.2994 0.9717 0.6722
Dy 0.8091 0.2412 0.0503
Dy 0.1909 0.7588 0.9497
Dy 0.7006 0.0283 0.3278
Dy 0.1909 0.2412 0.4321
Dy 0.7006 0.3728 0.6722
Dy 0.8091 0.7588 0.5679
Dy 0.2994 0.6272 0.3278
Dy 0.5379 0.7176 0.8204
Dy 0.1028 0.2824 0.8204
Ag 0.0000 0.0000 0.0000
Ag 0.0000 0.5000 0.5000
Pd 0.6579 0.0000 0.6579
Pd 0.3421 0.0000 0.3421
Pd 0.5000 0.6326 0.1326
Pd 0.5000 0.3674 0.8674


DFT (GGA-PBE) results for TlCd2InPb4 after structural relaxation.

Values from the calculation:
Symmetry ... No. 10
E_tot ... -21.50 eV/cell
ΔE_f ... 34.1 meV/atom

Cell: 5.0881 4.9135 10.5227 Å, 61.74 90.00 90.00°
Positions (direct):
Tl 0.0000 0.5000 0.5000
Pb 0.0000 0.7401 0.7588
Pb 0.5000 0.2497 0.7520
Pb 0.5000 0.7503 0.2480
Pb 0.0000 0.2599 0.2412
Cd 0.5000 0.0000 0.5000
Cd 0.0000 0.0000 0.0000
In 0.5000 0.5000 0.0000


DFT (GGA-PBE) results for PrHoHg after structural relaxation.

Values from the calculation:
Symmetry ... No. 156
E_tot ... -10.25 eV/cell
ΔE_f ... -196.0 meV/atom
Offset from the most stable computed form ... 0.112 eV per atom

Cell: 3.9269 5.1673 5.1673 Å, 120.00 90.00 90.00°
Positions (direct):
Hg 0.1696 0.3333 0.6667
Pr 0.6657 0.6667 0.3333
Ho 0.1647 0.0000 0.0000


DFT (GGA-PBE) results for Pm4Dy5Tm2 after structural relaxation.

Values from the calculation:
Symmetry ... No. 12
E_tot ... -49.75 eV/cell
ΔE_f ... 109.7 meV/atom
Offset from the most stable computed form ... 0.000 eV per atom

Cell: 5.6373 6.6128 9.9618 Å, 90.94 106.44 90.00°
Positions (direct):
Pm 0.0195 0.2888 0.0390
Pm 0.9805 0.7112 0.9610
Pm 0.3058 0.9296 0.6117
Pm 0.6942 0.0704 0.3883
Dy 0.7919 0.5977 0.5838
Dy 0.2081 0.4023 0.4162
Dy 0.1300 0.8923 0.2599
Dy 0.8700 0.1077 0.7401
Dy 0.5000 0.0000 0.0000
Tm 0.4026 0.4469 0.8051
Tm 0.5974 0.5531 0.1949


DFT (GGA-PBE) results for Ba2Li2In after structural relaxation.

Values from the calculation:
Symmetry ... No. 15
E_tot ... -22.72 eV/cell
ΔE_f ... -189.6 meV/atom
Offset from the most stable computed form ... 0.000 eV per atom

Cell: 6.7090 6.5142 9.5536 Å, 101.00 90.00 120.99°
Positions (direct):
In 0.8530 0.0000 0.2500
In 0.1470 0.0000 0.7500
Ba 0.4691 0.6943 0.8445
Ba 0.7748 0.3057 0.6555
Ba 0.2252 0.6943 0.3445
Ba 0.5309 0.3057 0.1555
Li 0.2237 0.2250 0.4974
Li 0.0013 0.2250 0.9974
Li 0.7763 0.7750 0.5026
Li 0.9987 0.7750 0.0026


DFT (GGA-PBE) results for Y2TaTe after structural relaxation.

Values from the calculation:
Symmetry ... No. 216
E_tot ... -27.04 eV/cell
Formation energy from raw total energies ... 221 meV per atom

Cell: 5.1823 5.1823 5.1823 Å, 60.00 60.00 60.00°
Positions (direct):
Y 0.0000 0.0000 0.0000
Y 0.2500 0.2500 0.2500
Te 0.7500 0.7500 0.7500
Ta 0.5000 0.5000 0.5000


What is the E_tot in the fourth record?
-21.50 eV/cell